# SCAN FeAgSe2, single point on PBEsol structure
data_FeAgSe2
_chemical_formula_sum 'Fe1 Ag1 Se2'
_symmetry_space_group_name_H-M 'P 4/m m m'
_symmetry_Int_Tables_number 123
_symmetry_space_group_name_Hall '-P 4 2'
_cell_length_a 3.034
_cell_length_b 3.034
_cell_length_c 7.074
_cell_angle_alpha 90.00
_cell_angle_beta 90.00
_cell_angle_gamma 90.00
loop_
_atom_site_label
_atom_site_type_symbol
_atom_site_fract_x
_atom_site_fract_y
_atom_site_fract_z
Fe1 Fe 0.000 0.000 0.000
Ag1 Ag 0.000 0.000 0.500
Se1 Se 0.500 0.500 0.207
# Calculated total energy ... -22.214 eV per atom
# Raw formation energy ... 77 kJ/mol of formula units

---

# SCAN Fe2AgSe, single point on PBEsol structure
data_Fe2AgSe
_chemical_formula_sum 'Fe2 Ag1 Se1'
_symmetry_space_group_name_H-M 'P 4/m m m'
_symmetry_Int_Tables_number 123
_symmetry_space_group_name_Hall '-P 4 2'
_cell_length_a 2.954
_cell_length_b 2.954
_cell_length_c 6.271
_cell_angle_alpha 90.00
_cell_angle_beta 90.00
_cell_angle_gamma 90.00
loop_
_atom_site_label
_atom_site_type_symbol
_atom_site_fract_x
_atom_site_fract_y
_atom_site_fract_z
Fe1 Fe 0.000 0.000 0.216
Ag1 Ag 0.500 0.500 0.500
Se1 Se 0.500 0.500 0.000
# Calculated total energy ... -21.578 eV per atom
# Raw formation energy ... 134 kJ/mol of formula units

---

# SCAN FeAgSe2, single point on PBEsol structure
data_FeAgSe2
_chemical_formula_sum 'Fe2 Ag2 Se4'
_symmetry_space_group_name_H-M 'I m m 2'
_symmetry_Int_Tables_number 44
_symmetry_space_group_name_Hall 'I 2 -2'
_cell_length_a 3.127
_cell_length_b 3.520
_cell_length_c 12.904
_cell_angle_alpha 90.00
_cell_angle_beta 90.00
_cell_angle_gamma 90.00
loop_
_atom_site_label
_atom_site_type_symbol
_atom_site_fract_x
_atom_site_fract_y
_atom_site_fract_z
Fe1 Fe 0.000 0.000 0.000
Ag1 Ag 0.000 0.500 0.263
Se1 Se 0.000 0.000 0.425
Se2 Se 0.000 0.500 0.642
# Calculated total energy ... -22.404 eV per atom
# Raw formation energy ... 4 kJ/mol of formula units

---

# SCAN FeAgSe2, single point on PBEsol structure
data_FeAgSe2
_chemical_formula_sum 'Fe3 Ag3 Se6'
_symmetry_space_group_name_H-M 'R -3 m'
_symmetry_Int_Tables_number 166
_symmetry_space_group_name_Hall '-R 3 2"'
_cell_length_a 3.3947
_cell_length_b 3.3947
_cell_length_c 22.7179
_cell_angle_alpha 90.00
_cell_angle_beta 90.00
_cell_angle_gamma 120.00
loop_
_atom_site_label
_atom_site_type_symbol
_atom_site_fract_x
_atom_site_fract_y
_atom_site_fract_z
Fe1 Fe 0.0000 0.0000 0.0000
Ag1 Ag 0.0000 0.0000 0.5000
Se1 Se 0.0000 0.0000 0.3901
# Calculated total energy ... -22.529 eV per atom
# Raw formation energy ... -45 kJ/mol of formula units

---

# SCAN Fe2AgSe2, single point on PBEsol structure
data_Fe2AgSe2
_chemical_formula_sum 'Fe4 Ag2 Se4'
_symmetry_space_group_name_H-M 'I 4/m m m'
_symmetry_Int_Tables_number 139
_symmetry_space_group_name_Hall '-I 4 2'
_cell_length_a 4.599
_cell_length_b 4.599
_cell_length_c 7.737
_cell_angle_alpha 90.00
_cell_angle_beta 90.00
_cell_angle_gamma 90.00
loop_
_atom_site_label
_atom_site_type_symbol
_atom_site_fract_x
_atom_site_fract_y
_atom_site_fract_z
Fe1 Fe 0.000 0.000 0.140
Ag1 Ag 0.000 0.000 0.500
Se1 Se 0.000 0.500 0.250
# Calculated total energy ... -21.325 eV per atom
# Raw formation energy ... 112 kJ/mol of formula units

---

# SCAN Fe2SiAg, single point on PBEsol structure
data_Fe2SiAg
_chemical_formula_sum 'Fe4 Si2 Ag2'
_symmetry_space_group_name_H-M 'I m m m'
_symmetry_Int_Tables_number 71
_symmetry_space_group_name_Hall '-I 2 2'
_cell_length_a 3.227
_cell_length_b 4.058
_cell_length_c 7.715
_cell_angle_alpha 90.00
_cell_angle_beta 90.00
_cell_angle_gamma 90.00
loop_
_atom_site_label
_atom_site_type_symbol
_atom_site_fract_x
_atom_site_fract_y
_atom_site_fract_z
Fe1 Fe 0.000 0.000 0.229
Si1 Si 0.000 0.500 0.500
Ag1 Ag 0.000 0.500 0.000
# Calculated total energy ... -19.312 eV per atom
# Raw formation energy ... 38 kJ/mol of formula units

---

# SCAN Fe2SiAg, single point on PBEsol structure
data_Fe2SiAg
_chemical_formula_sum 'Fe4 Si2 Ag2'
_symmetry_space_group_name_H-M 'I m m 2'
_symmetry_Int_Tables_number 44
_symmetry_space_group_name_Hall 'I 2 -2'
_cell_length_a 3.020
_cell_length_b 4.129
_cell_length_c 8.049
_cell_angle_alpha 90.00
_cell_angle_beta 90.00
_cell_angle_gamma 90.00
loop_
_atom_site_label
_atom_site_type_symbol
_atom_site_fract_x
_atom_site_fract_y
_atom_site_fract_z
Fe1 Fe 0.000 0.000 0.000
Fe2 Fe 0.000 0.500 0.252
Si1 Si 0.000 0.500 0.726
Ag1 Ag 0.000 0.000 0.478
# Calculated total energy ... -19.228 eV per atom
# Raw formation energy ... 71 kJ/mol of formula units

---

# SCAN Fe2SiAg, single point on PBEsol structure
data_Fe2SiAg
_chemical_formula_sum 'Fe8 Si4 Ag4'
_symmetry_space_group_name_H-M 'F -4 3 m'
_symmetry_Int_Tables_number 216
_symmetry_space_group_name_Hall 'F -4 2 3'
_cell_length_a 5.852
_cell_length_b 5.852
_cell_length_c 5.852
_cell_angle_alpha 90.00
_cell_angle_beta 90.00
_cell_angle_gamma 90.00
loop_
_atom_site_label
_atom_site_type_symbol
_atom_site_fract_x
_atom_site_fract_y
_atom_site_fract_z
Fe1 Fe 0.000 0.000 0.000
Fe2 Fe 0.250 0.250 0.250
Si1 Si 0.250 0.250 0.750
Ag1 Ag 0.000 0.000 0.500
# Calculated total energy ... -19.254 eV per atom
# Raw formation energy ... 60 kJ/mol of formula units

---

# SCAN Fe2SiAg, single point on PBEsol structure
data_Fe2SiAg
_chemical_formula_sum 'Fe6 Si3 Ag3'
_symmetry_space_group_name_H-M 'R -3 m'
_symmetry_Int_Tables_number 166
_symmetry_space_group_name_Hall '-R 3 2"'
_cell_length_a 2.6488
_cell_length_b 2.6488
_cell_length_c 24.8407
_cell_angle_alpha 90.00
_cell_angle_beta 90.00
_cell_angle_gamma 120.00
loop_
_atom_site_label
_atom_site_type_symbol
_atom_site_fract_x
_atom_site_fract_y
_atom_site_fract_z
Fe1 Fe 0.0000 0.0000 0.2418
Si1 Si 0.0000 0.0000 0.5000
Ag1 Ag 0.0000 0.0000 0.0000
# Calculated total energy ... -19.265 eV per atom
# Raw formation energy ... 56 kJ/mol of formula units

---

# SCAN FeSiAg2, single point on PBEsol structure
data_FeSiAg2
_chemical_formula_sum 'Fe4 Si4 Ag8'
_symmetry_space_group_name_H-M 'F -4 3 m'
_symmetry_Int_Tables_number 216
_symmetry_space_group_name_Hall 'F -4 2 3'
_cell_length_a 6.121
_cell_length_b 6.121
_cell_length_c 6.121
_cell_angle_alpha 90.00
_cell_angle_beta 90.00
_cell_angle_gamma 90.00
loop_
_atom_site_label
_atom_site_type_symbol
_atom_site_fract_x
_atom_site_fract_y
_atom_site_fract_z
Fe1 Fe 0.000 0.000 0.000
Si1 Si 0.250 0.250 0.250
Ag1 Ag 0.000 0.000 0.500
Ag2 Ag 0.250 0.250 0.750
# Calculated total energy ... -22.414 eV per atom
# Raw formation energy ... 118 kJ/mol of formula units

---

# SCAN FeSiAg2, single point on PBEsol structure
data_FeSiAg2
_chemical_formula_sum 'Fe2 Si2 Ag4'
_symmetry_space_group_name_H-M 'I m m m'
_symmetry_Int_Tables_number 71
_symmetry_space_group_name_Hall '-I 2 2'
_cell_length_a 2.797
_cell_length_b 4.406
_cell_length_c 9.431
_cell_angle_alpha 90.00
_cell_angle_beta 90.00
_cell_angle_gamma 90.00
loop_
_atom_site_label
_atom_site_type_symbol
_atom_site_fract_x
_atom_site_fract_y
_atom_site_fract_z
Fe1 Fe 0.000 0.000 0.000
Si1 Si 0.000 0.000 0.500
Ag1 Ag 0.000 0.500 0.231
# Calculated total energy ... -22.455 eV per atom
# Raw formation energy ... 102 kJ/mol of formula units

---

# SCAN FeAg3Sn, single point on PBEsol structure
data_FeAg3Sn
_chemical_formula_sum 'Fe1 Ag3 Sn1'
_symmetry_space_group_name_H-M 'P m -3 m'
_symmetry_Int_Tables_number 221
_symmetry_space_group_name_Hall '-P 4 2 3'
_cell_length_a 4.761
_cell_length_b 4.761
_cell_length_c 4.761
_cell_angle_alpha 90.00
_cell_angle_beta 90.00
_cell_angle_gamma 90.00
loop_
_atom_site_label
_atom_site_type_symbol
_atom_site_fract_x
_atom_site_fract_y
_atom_site_fract_z
Fe1 Fe 0.000 0.000 0.000
Ag1 Ag 0.000 0.000 0.500
Sn1 Sn 0.500 0.500 0.500
# Calculated total energy ... -28.826 eV per atom